Computed, not measured: an optimized crystal structure of NaNiNO2 at the PBE with a Hubbard U level of DFT.

Cell and atoms, written as extended XYZ:
```
5
Lattice="4.100 0.000 0.000 0.000 4.100 0.000 0.000 0.000 4.118" Properties=species:S:1:pos:R:3 pbc="T T T"
Ni 2.050 2.050 2.059
N 0.000 0.000 2.059
O 0.000 2.050 0.000
O 2.050 0.000 0.000
Na 0.000 0.000 0.000
```

## Properties
N(E_F): 1.65 states/eV/f.u.
DFT total energy: -2.964 eV/atom

=====

Computed, not measured: an optimized crystal structure of NaNiN2O at the PBE with a Hubbard U level of DFT.

Cell and atoms, written as extended XYZ:
```
5
Lattice="4.222 0.000 0.000 0.000 4.222 0.000 0.000 0.000 4.112" Properties=species:S:1:pos:R:3 pbc="T T T"
Ni 2.111 2.111 2.056
N 0.000 2.111 0.000
N 2.111 0.000 0.000
O 0.000 0.000 2.056
Na 0.000 0.000 0.000
```

## Properties
N(E_F): 0.81 states/eV/f.u.
DFT total energy: -2.928 eV/atom

=====

- Which of these has the lowest DFT total energy?
  NaNiNO2

=====

- Among the records above, which one has the lowest N(E_F)?
  NaNiN2O

=====

- Among the records above, which one has the lowest DFT total energy?
  NaNiNO2